The following is a PBE calculation of Tb2EuSn after structural relaxation, from Alexandria via LeMat-Bulk.

a b c (Å): 7.7424 7.7424 7.7424
angles (deg): 90.00 90.00 90.00
Closest atoms and distances in Å follow each position.
Space group Fm-3m (No. 225)
Asymmetric unit:
Tb1 0.2500 0.2500 0.2500  4 Sn 3.35, 4 Eu 3.35
Eu1 0.0000 0.0000 0.0000  8 Tb 3.35
Sn1 0.0000 0.0000 0.5000  8 Tb 3.35

Density of states at the Fermi level   5.4 states/eV/f.u.
Total magnetization   31.3 μB/cell
Density   8.42 g/cm³
VASP energy   -6.1264 eV per atom
DFT formation energy   -23 kJ/mol of atoms
Excess energy over the best structure of this formula in the dataset   0.57 eV/f.u.